(1)
Material: La2Si4NiPt3
Method: DFT, PBE
State: optimized geometry

The structure in POSCAR format:
```
La2Si4NiPt3
1.0
4.276 0.000 0.000
0.000 4.276 0.000
0.000 0.000 9.886
La Si Ni Pt
2 4 1 3
Direct
0.000 0.500 0.250
0.500 0.000 0.750
0.000 0.000 0.000
0.000 0.500 0.624
0.500 0.000 0.376
0.500 0.500 0.000
0.000 0.000 0.500
0.000 0.500 0.877
0.500 0.000 0.123
0.500 0.500 0.500
```

Output
**Formation energy without anion corrections**: -1.050 eV per atom
**ρ**: 9.5 g/cm3

=====

(2)
Material: La2Si4Ni3Pt
Method: DFT, PBE
State: optimized geometry

The structure in POSCAR format:
```
La2Si4Ni3Pt
1.0
4.124 0.000 0.000
0.000 4.124 0.000
0.000 0.000 9.842
La Si Ni Pt
2 4 3 1
Direct
0.000 0.500 0.242
0.500 0.000 0.758
0.000 0.000 0.000
0.000 0.500 0.635
0.500 0.000 0.365
0.500 0.500 0.000
0.000 0.500 0.881
0.500 0.000 0.119
0.500 0.500 0.500
0.000 0.000 0.500
```

Output
**Formation energy without anion corrections**: -0.869 eV per atom
**ρ**: 7.6 g/cm3

=====

(3)
Material: La2SiNiPt6
Method: DFT, PBE
State: optimized geometry

The structure in POSCAR format:
```
La2SiNiPt6
1.0
5.902 -2.746 0.000
5.902 2.746 0.000
-5.478 0.000 6.164
La Si Ni Pt
2 1 1 6
Direct
0.236 0.236 0.197
0.764 0.764 0.803
0.000 0.000 0.500
0.500 0.500 0.000
0.250 0.250 0.615
0.253 0.746 0.740
0.254 0.747 0.260
0.746 0.253 0.740
0.747 0.254 0.260
0.750 0.750 0.385
```

Output
**Formation energy without anion corrections**: -0.859 eV per atom
**ρ**: 12.8 g/cm3

=====

(4)
Material: LaSiNi2Pt2
Method: DFT, PBE
State: optimized geometry

The structure in POSCAR format:
```
LaSiNi2Pt2
1.0
4.588 0.000 0.000
0.000 4.588 0.000
0.000 0.000 5.520
La Si Ni Pt
1 1 2 2
Direct
0.000 0.000 0.000
0.000 0.000 0.500
0.500 0.500 0.261
0.500 0.500 0.739
0.000 0.500 0.500
0.500 0.000 0.500
```

Output
**Formation energy without anion corrections**: -0.152 eV per atom
**ρ**: 9.6 g/cm3

=====

(5)
Material: LaSmNiPt
Method: DFT, PBE
State: optimized geometry

The structure in POSCAR format:
```
LaSmNiPt
1.0
4.447 0.000 0.000
0.000 3.910 0.000
0.000 0.000 10.808
La Sm Ni Pt
2 2 2 2
Direct
0.000 0.000 0.000
0.000 0.500 0.500
0.500 0.000 0.274
0.500 0.500 0.774
0.500 0.000 0.557
0.500 0.500 0.057
0.000 0.000 0.718
0.000 0.500 0.218
```

Output
**E_form**: -0.77 eV/atom
**ρ**: 9.6 g/cm3

=====

(6)
Material: La2NiSn3Pt4
Method: DFT, PBE
State: optimized geometry

The structure in POSCAR format:
```
La2NiSn3Pt4
1.0
4.441 0.000 0.000
0.000 4.441 0.000
0.000 0.000 11.144
La Ni Sn Pt
2 1 3 4
Direct
0.000 0.500 0.232
0.500 0.000 0.768
0.500 0.500 0.000
0.000 0.000 0.000
0.000 0.500 0.634
0.500 0.000 0.366
0.000 0.000 0.500
0.000 0.500 0.869
0.500 0.000 0.131
0.500 0.500 0.500
```

Output
**E_form**: -0.78 eV/atom
**ρ**: 11.1 g/cm3

=====

(7)
Material: La2NiSn4Pt3
Method: DFT, PBE
State: optimized geometry

The structure in POSCAR format:
```
La2NiSn4Pt3
1.0
4.608 0.000 0.000
0.000 4.608 0.000
0.000 0.000 10.716
La Ni Sn Pt
2 1 4 3
Direct
0.000 0.500 0.238
0.500 0.000 0.762
0.500 0.500 0.000
0.000 0.000 0.500
0.000 0.500 0.879
0.500 0.000 0.121
0.500 0.500 0.500
0.000 0.000 0.000
0.000 0.500 0.633
0.500 0.000 0.367
```

Output
**E_form**: -0.82 eV/atom
**ρ**: 10.2 g/cm3

=====

(8)
Material: LaNi2SnPt
Method: DFT, PBE
State: optimized geometry

The structure in POSCAR format:
```
LaNi2SnPt
1.0
4.715 0.000 0.000
0.000 4.715 0.000
0.000 0.000 5.393
La Ni Sn Pt
1 2 1 1
Direct
0.000 0.000 0.000
0.000 0.500 0.000
0.500 0.000 0.000
0.500 0.500 0.500
0.000 0.000 0.500
```

Output
**E_form**: 0.83 eV/atom
**ρ**: 7.9 g/cm3

=====

(9)
Material: La2Ni3Sn4Pt
Method: DFT, PBE
State: optimized geometry

The structure in POSCAR format:
```
La2Ni3Sn4Pt
1.0
4.547 0.000 0.000
0.000 4.547 0.000
0.000 0.000 10.307
La Ni Sn Pt
2 3 4 1
Direct
0.000 0.500 0.243
0.500 0.000 0.757
0.000 0.000 0.000
0.000 0.500 0.622
0.500 0.000 0.378
0.000 0.000 0.500
0.000 0.500 0.866
0.500 0.000 0.134
0.500 0.500 0.500
0.500 0.500 0.000
```

Output
**E_form**: -0.65 eV/atom
**ρ**: 8.8 g/cm3

=====

(10)
Material: LaTmNiPt
Method: DFT, PBE
State: optimized geometry

The structure in POSCAR format:
```
LaTmNiPt
1.0
7.032 0.000 0.000
0.000 7.032 0.000
0.000 0.000 7.032
La Tm Ni Pt
4 4 4 4
Direct
0.000 0.000 0.000
0.000 0.500 0.500
0.500 0.000 0.500
0.500 0.500 0.000
0.000 0.000 0.500
0.000 0.500 0.000
0.500 0.000 0.000
0.500 0.500 0.500
0.250 0.250 0.250
0.250 0.750 0.750
0.750 0.250 0.750
0.750 0.750 0.250
0.250 0.250 0.750
0.250 0.750 0.250
0.750 0.250 0.250
0.750 0.750 0.750
```

Output
**E_form**: -0.72 eV/atom
**ρ**: 10.7 g/cm3

=====

(11)
Material: LaYNiPt
Method: DFT, PBE
State: optimized geometry

The structure in POSCAR format:
```
LaYNiPt
1.0
4.401 0.000 0.000
0.000 3.865 0.000
0.000 0.000 10.780
La Y Ni Pt
2 2 2 2
Direct
0.000 0.000 0.000
0.000 0.500 0.500
0.500 0.000 0.275
0.500 0.500 0.775
0.500 0.000 0.559
0.500 0.500 0.059
0.000 0.000 0.720
0.000 0.500 0.220
```

Output
**E_form**: -0.80 eV/atom
**ρ**: 8.7 g/cm3
**Energy above the most stable polymorph in this dataset**: 0.0 meV per atom

=====

(12)
Material: LaYNiPt
Method: DFT, PBE
State: optimized geometry

The structure in POSCAR format:
```
LaYNiPt
1.0
7.087 0.000 0.000
0.000 7.087 0.000
0.000 0.000 7.087
La Y Ni Pt
4 4 4 4
Direct
0.000 0.000 0.000
0.000 0.500 0.500
0.500 0.000 0.500
0.500 0.500 0.000
0.000 0.000 0.500
0.000 0.500 0.000
0.500 0.000 0.000
0.500 0.500 0.500
0.250 0.250 0.250
0.250 0.750 0.750
0.750 0.250 0.750
0.750 0.750 0.250
0.250 0.250 0.750
0.250 0.750 0.250
0.750 0.250 0.250
0.750 0.750 0.750
```

Output
**E_form**: -0.69 eV/atom
**ρ**: 9.0 g/cm3
**Energy above the most stable polymorph in this dataset**: 106.6 meV per atom

=====

(13)
Material: La2Zn3NiPt12
Method: DFT, PBE
State: optimized geometry

The structure in POSCAR format:
```
La2Zn3NiPt12
1.0
3.932 2.270 6.795
-3.932 2.270 6.795
0.000 -4.540 6.795
La Zn Ni Pt
2 3 1 12
Direct
0.132 0.132 0.132
0.868 0.868 0.868
0.000 0.500 0.500
0.500 0.000 0.500
0.500 0.500 0.000
0.500 0.500 0.500
0.115 0.115 0.637
0.115 0.637 0.115
0.125 0.622 0.622
0.363 0.885 0.885
0.378 0.378 0.875
0.378 0.875 0.378
0.622 0.125 0.622
0.622 0.622 0.125
0.637 0.115 0.115
0.875 0.378 0.378
0.885 0.363 0.885
0.885 0.885 0.363
```

Output
**E_form**: -0.23 eV/atom
**ρ**: 13.1 g/cm3

=====

(14)
Material: LaZn3NiPt
Method: DFT, PBE
State: optimized geometry

The structure in POSCAR format:
```
LaZn3NiPt
1.0
3.151 -6.347 0.000
3.151 6.347 0.000
0.000 0.000 5.457
La Zn Ni Pt
2 6 2 2
Direct
0.233 0.767 0.750
0.767 0.233 0.250
0.203 0.203 0.000
0.203 0.203 0.500
0.365 0.635 0.250
0.635 0.365 0.750
0.797 0.797 0.000
0.797 0.797 0.500
0.442 0.558 0.750
0.558 0.442 0.250
0.159 0.841 0.250
0.841 0.159 0.750
```

Output
**E_form**: -0.44 eV/atom
**ρ**: 9.0 g/cm3

=====

(15)
Material: La2Zn3Ni12Pt
Method: DFT, PBE
State: optimized geometry

The structure in POSCAR format:
```
La2Zn3Ni12Pt
1.0
3.017 1.742 8.823
-3.017 1.742 8.823
0.000 -3.483 8.823
La Zn Ni Pt
2 3 12 1
Direct
0.141 0.141 0.141
0.859 0.859 0.859
0.000 0.500 0.500
0.500 0.000 0.500
0.500 0.500 0.000
0.062 0.619 0.619
0.083 0.083 0.698
0.083 0.698 0.083
0.302 0.917 0.917
0.381 0.381 0.938
0.381 0.938 0.381
0.619 0.062 0.619
0.619 0.619 0.062
0.698 0.083 0.083
0.917 0.302 0.917
0.917 0.917 0.302
0.938 0.381 0.381
0.500 0.500 0.500
```

Output
**E_form**: 0.08 eV/atom
**ρ**: 8.2 g/cm3

=====

(16)
Material: La2PuNi9
Method: DFT, PBE
State: optimized geometry

The structure in POSCAR format:
```
La2PuNi9
1.0
2.504 1.445 8.344
-2.504 1.445 8.344
0.000 -2.891 8.344
La Pu Ni
2 1 9
Direct
0.137 0.137 0.137
0.863 0.863 0.863
0.000 0.000 0.000
0.081 0.579 0.579
0.332 0.332 0.332
0.421 0.421 0.919
0.421 0.919 0.421
0.500 0.500 0.500
0.579 0.081 0.579
0.579 0.579 0.081
0.668 0.668 0.668
0.919 0.421 0.421
```

Output
**E_form**: -0.27 eV/atom
**ρ**: 9.6 g/cm3

=====

(17)
Material: LaPu3Ni8
Method: DFT, PBE
State: optimized geometry

The structure in POSCAR format:
```
LaPu3Ni8
1.0
5.064 0.000 0.000
-2.532 4.386 0.000
0.000 0.000 8.399
La Pu Ni
1 3 8
Direct
0.000 0.000 0.000
0.000 0.000 0.380
0.667 0.333 0.487
0.667 0.333 0.853
0.001 0.501 0.184
0.169 0.338 0.677
0.169 0.831 0.677
0.333 0.667 0.428
0.333 0.667 0.928
0.499 0.501 0.184
0.499 0.999 0.184
0.662 0.831 0.677
```

Output
**E_form**: -0.25 eV/atom
**ρ**: 11.9 g/cm3

=====

(18)
Material: LaPuNi2
Method: DFT, PBE
State: optimized geometry

The structure in POSCAR format:
```
LaPuNi2
1.0
6.903 0.000 0.000
0.000 6.903 0.000
0.000 0.000 6.903
La Pu Ni
4 4 8
Direct
0.000 0.000 0.000
0.000 0.500 0.500
0.500 0.000 0.500
0.500 0.500 0.000
0.000 0.000 0.500
0.000 0.500 0.000
0.500 0.000 0.000
0.500 0.500 0.500
0.250 0.250 0.250
0.250 0.250 0.750
0.250 0.750 0.250
0.250 0.750 0.750
0.750 0.250 0.250
0.750 0.250 0.750
0.750 0.750 0.250
0.750 0.750 0.750
```

Output
**E_form**: -0.10 eV/atom
**ρ**: 10.1 g/cm3
**Energy above the most stable polymorph in this dataset**: 23.2 meV per atom

=====

(19)
Material: LaPuNi10
Method: DFT, PBE
State: optimized geometry

The structure in POSCAR format:
```
LaPuNi10
1.0
3.966 0.000 0.000
0.000 4.937 0.000
0.000 0.000 8.573
La Pu Ni
1 1 10
Direct
0.000 0.000 0.000
0.000 0.500 0.500
0.000 0.000 0.338
0.000 0.000 0.662
0.000 0.500 0.174
0.000 0.500 0.826
0.500 0.000 0.500
0.500 0.254 0.256
0.500 0.254 0.744
0.500 0.500 0.000
0.500 0.746 0.256
0.500 0.746 0.744
```

Output
**E_form**: -0.23 eV/atom
**ρ**: 9.6 g/cm3

=====

(20)
Material: La2PuNi
Method: DFT, PBE
State: optimized geometry

The structure in POSCAR format:
```
La2PuNi
1.0
3.698 0.000 0.000
-1.849 3.203 0.000
0.000 0.000 30.978
La Pu Ni
6 3 3
Direct
0.000 0.000 0.108
0.000 0.000 0.892
0.333 0.667 0.558
0.333 0.667 0.775
0.667 0.333 0.225
0.667 0.333 0.442
0.000 0.000 0.000
0.333 0.667 0.667
0.667 0.333 0.333
0.000 0.000 0.500
0.333 0.667 0.167
0.667 0.333 0.833
```

Output
**E_form**: 0.20 eV/atom
**ρ**: 7.9 g/cm3
**Energy above the most stable polymorph in this dataset**: 212.6 meV per atom

=====

(21)
Material: LaPu2Ni
Method: DFT, PBE
State: optimized geometry

The structure in POSCAR format:
```
LaPu2Ni
1.0
3.517 0.000 0.000
0.000 3.517 0.000
0.000 0.000 7.945
La Pu Ni
1 2 1
Direct
0.000 0.000 0.000
0.500 0.500 0.310
0.500 0.500 0.690
0.000 0.000 0.500
```

Output
**E_form**: 0.09 eV/atom
**ρ**: 11.6 g/cm3
**Energy above the most stable polymorph in this dataset**: 0.0 meV per atom

=====

(22)
Material: LaPu2Ni
Method: DFT, PBE
State: optimized geometry

The structure in POSCAR format:
```
LaPu2Ni
1.0
3.552 0.000 0.000
-1.776 3.076 0.000
0.000 0.000 29.641
La Pu Ni
3 6 3
Direct
0.000 0.000 0.000
0.333 0.667 0.667
0.667 0.333 0.333
0.000 0.000 0.107
0.000 0.000 0.893
0.333 0.667 0.560
0.333 0.667 0.773
0.667 0.333 0.227
0.667 0.333 0.440
0.000 0.000 0.500
0.333 0.667 0.167
0.667 0.333 0.833
```

Output
**E_form**: 0.27 eV/atom
**ρ**: 10.5 g/cm3
**Energy above the most stable polymorph in this dataset**: 186.9 meV per atom

=====

(23)
Material: La2Pu2Ni15
Method: DFT, PBE
State: optimized geometry

The structure in POSCAR format:
```
La2Pu2Ni15
1.0
4.274 2.468 4.219
-4.274 2.468 4.219
0.000 -4.936 4.219
La Pu Ni
2 2 15
Direct
0.147 0.147 0.147
0.853 0.853 0.853
0.411 0.411 0.411
0.589 0.589 0.589
0.000 0.500 0.500
0.159 0.159 0.658
0.159 0.658 0.159
0.187 0.500 0.813
0.187 0.813 0.500
0.342 0.841 0.841
0.500 0.000 0.500
0.500 0.187 0.813
0.500 0.500 0.000
0.500 0.813 0.187
0.658 0.159 0.159
0.813 0.187 0.500
0.813 0.500 0.187
0.841 0.342 0.841
0.841 0.841 0.342
```

Output
**E_form**: -0.15 eV/atom
**ρ**: 10.2 g/cm3

=====

Q: Which magnetic moment values were calculated for the entries above? A: 0.00 0.00 0.00 0.60 0.00 0.00 0.00 0.00 0.00 0.00 0.00 0.00 1.07 0.00 0.00 4.12 15.74 22.45 1.68 19.46 11.25 34.25 3.23, in μB/cell.
Q: Which total energy values were calculated for the entries above? A: -66.0 -63.6 -65.9 -34.9 -49.1 -59.6 -58.0 -22.4 -55.8 -96.4 -52.8 -103.9 -96.1 -46.4 -87.7 -79.4 -97.2 -124.9 -79.9 -87.5 -39.0 -114.8 -128.2, in eV/cell.